Entry 1:
A relaxed structure of PmHf2C, computed with PBE-GGA.

abc: 3.2880 3.2880 9.2480
angles: 79.76 79.76 60.00
Last column: nearest neighbours and their distance in Å.
Positions (direct):
1 C 0.5000 0.5000 0.5000  6 Hf 2.26
2 Hf 0.8786 0.8786 0.3641  3 C 2.26
3 Pm 0.0000 0.0000 0.0000  6 Pm 3.29, 2 Hf 3.30
4 Hf 0.1214 0.1214 0.6359  3 C 2.26

Output
**DFT formation energy**: -6.75 kcal/mol of atoms
**Total magnetic moment**: 0.00 μB per cell
**DOS(E_F)**: 3.758 states/eV/cell

***

Entry 2:
A relaxed structure of AlCd3, computed with PBE-GGA.

abc: 11.1372 11.1372 11.1372
angles: 15.52 15.52 15.52
Last column: nearest neighbours and their distance in Å.
Positions (direct):
1 Cd 0.7432 0.7432 0.7432  6 Cd 3.01, 3 Al 3.07
2 Cd 0.5000 0.5000 0.5000  6 Cd 3.01
3 Cd 0.2568 0.2568 0.2568  6 Cd 3.01, 3 Al 3.07
4 Al 0.0000 0.0000 0.0000  6 Al 3.01, 6 Cd 3.07

Output
**DFT formation energy**: 1.22 kcal/mol of atoms
**Total magnetic moment**: 0.00 μB per cell
**DOS(E_F)**: 1.459 states/eV/cell

***

Entry 3:
A relaxed structure of NaPb3Au2, computed with PBE-GGA.

abc: 5.2437 9.4204 9.1292
angles: 130.30 90.00 106.16
Last column: nearest neighbours and their distance in Å.
Positions (direct):
1 Na 0.8586 0.7172 0.9118  4 Au 2.98-3.11
2 Pb 0.9457 0.8915 0.5960  1 Au 2.96
3 Pb 0.6775 0.3549 0.3770  3 Au 2.91-3.17
4 Pb 0.6251 0.2502 0.7334  4 Au 2.89-3.11
5 Au 0.5398 0.0796 0.9109  2 Au 2.81-2.93, 2 Pb 2.89-2.91, 2 Na 2.98
6 Pb 0.3749 0.7498 0.2666  4 Au 2.89-3.11
7 Au 0.2423 0.4845 0.8254  1 Au 2.93, 5 Pb 2.96-3.11, 2 Na 3.11
8 Pb 0.0543 0.1085 0.4040  1 Au 2.96
9 Na 0.1414 0.2828 0.0882  4 Au 2.98-3.11
10 Pb 0.3225 0.6451 0.6230  3 Au 2.91-3.17
11 Au 0.7577 0.5155 0.1746  1 Au 2.93, 5 Pb 2.96-3.11, 2 Na 3.11
12 Au 0.4602 0.9204 0.0891  2 Au 2.81-2.93, 2 Pb 2.89-2.91, 2 Na 2.98

Output
**ΔE to the lowest computed polymorph**: 0.45 kcal/mol of atoms
**DFT formation energy**: -2.72 kcal/mol of atoms
**Total magnetic moment**: 0.00 μB per cell
**DOS(E_F)**: 4.759 states/eV/cell

***

Entry 4:
A relaxed structure of LaHfCu10, computed with PBE-GGA.

abc: 4.1020 5.0232 8.6890
angles: 90.00 90.00 90.00
Last column: nearest neighbours and their distance in Å.
Positions (direct):
1 Cu 0.0000 0.5000 0.1836  6 Cu 2.48-2.60, 1 Hf 2.75
2 La 0.0000 0.0000 0.0000  18 Cu 2.98-3.33
3 Cu 0.5000 0.7428 0.2628  8 Cu 2.43-2.59
4 Cu 0.5000 0.2572 0.2628  8 Cu 2.43-2.59
5 Cu 0.5000 0.0000 0.5000  8 Cu 2.43-2.46
6 Cu 0.5000 0.5000 0.0000  8 Cu 2.59-2.60
7 Cu 0.5000 0.7428 0.7372  8 Cu 2.43-2.59
8 Cu 0.0000 0.0000 0.6554  7 Cu 2.46-2.70
9 Cu 0.0000 0.5000 0.8164  6 Cu 2.48-2.60, 1 Hf 2.75
10 Cu 0.5000 0.2572 0.7372  8 Cu 2.43-2.59
11 Cu 0.0000 0.0000 0.3446  7 Cu 2.46-2.70
12 Hf 0.0000 0.5000 0.5000  6 Cu 2.75-2.85

Output
**DFT formation energy**: -1.99 kcal/mol of atoms
**Total magnetic moment**: 0.00 μB per cell
**DOS(E_F)**: 8.289 states/eV/cell

***

Entry 5:
A relaxed structure of Li8NO3, computed with PBE-GGA.

abc: 4.7152 4.7152 4.7152
angles: 90.00 90.00 90.00
Last column: nearest neighbours and their distance in Å.
Positions (direct):
1 Li 0.2527 0.2527 0.7473  3 O 2.03, 1 N 2.06
2 O 0.5000 0.5000 0.0000  8 Li 2.03
3 Li 0.7473 0.2527 0.7473  3 O 2.03, 1 N 2.06
4 N 0.0000 0.0000 0.0000  8 Li 2.06
5 Li 0.7473 0.7473 0.7473  3 O 2.03, 1 N 2.06
6 O 0.0000 0.5000 0.5000  8 Li 2.03
7 Li 0.2527 0.7473 0.7473  3 O 2.03, 1 N 2.06
8 Li 0.2527 0.7473 0.2527  3 O 2.03, 1 N 2.06
9 O 0.5000 0.0000 0.5000  8 Li 2.03
10 Li 0.7473 0.2527 0.2527  3 O 2.03, 1 N 2.06
11 Li 0.2527 0.2527 0.2527  3 O 2.03, 1 N 2.06
12 Li 0.7473 0.7473 0.2527  3 O 2.03, 1 N 2.06

Output
**Total magnetic moment**: 1.00 μB per cell
**DOS(E_F)**: 6.795 states/eV/cell
**Energy relative to the elements, uncorrected**: -16.12 eV/f.u.

***

Entry 6:
A relaxed structure of HoSe6Cl12, computed with PBE-GGA.

abc: 13.0223 13.0223 13.0223
angles: 35.45 35.45 35.45
Last column: nearest neighbours and their distance in Å.
Positions (direct):
1 Cl 0.8777 0.2246 0.5018  1 Se 2.25
2 Ho 0.0000 0.0000 0.0000  6 Cl 2.64
3 Se 0.4608 0.1110 0.1860  1 Cl 2.25
4 Cl 0.4982 0.1223 0.7754  1 Se 2.25
5 Cl 0.1223 0.7754 0.4982  1 Se 2.25
6 Se 0.8890 0.8140 0.5392  1 Cl 2.25
7 Cl 0.8858 0.7300 0.2599  1 Ho 2.64, 1 Se 2.78
8 Cl 0.7401 0.1142 0.2700  1 Ho 2.64, 1 Se 2.78
9 Cl 0.2599 0.8858 0.7300  1 Ho 2.64, 1 Se 2.78
10 Cl 0.5018 0.8777 0.2246  1 Se 2.25
11 Se 0.1110 0.1860 0.4608  1 Cl 2.25
12 Cl 0.7299 0.2599 0.8858  1 Ho 2.64, 1 Se 2.78
13 Se 0.8140 0.5392 0.8890  1 Cl 2.25
14 Cl 0.7754 0.4982 0.1223  1 Se 2.25
15 Se 0.1860 0.4608 0.1110  1 Cl 2.25
16 Cl 0.1142 0.2700 0.7401  1 Ho 2.64, 1 Se 2.78
17 Se 0.5392 0.8890 0.8140  1 Cl 2.25
18 Cl 0.2246 0.5018 0.8777  1 Se 2.25
19 Cl 0.2701 0.7401 0.1142  1 Ho 2.64, 1 Se 2.78

Output
**Total magnetic moment**: 0.00 μB per cell
**DOS(E_F)**: 10.852 states/eV/cell
**Energy relative to the elements, uncorrected**: -10.44 eV/f.u.

***

Entry 7:
A relaxed structure of CaVC3, computed with PBE-GGA.

abc: 4.2054 4.2054 4.2054
angles: 90.00 90.00 90.00
Last column: nearest neighbours and their distance in Å.
Positions (direct):
1 C 0.0000 0.0000 0.5000  2 Ca 2.10
2 V 0.5000 0.5000 0.5000  12 C 2.97
3 C 0.0000 0.5000 0.0000  2 Ca 2.10
4 Ca 0.0000 0.0000 0.0000  6 C 2.10
5 C 0.5000 0.0000 0.0000  2 Ca 2.10

Output
**ΔE to the lowest computed polymorph**: 54.02 kcal/mol of atoms
**DFT formation energy**: 74.64 kcal/mol of atoms
**Total magnetic moment**: 2.04 μB per cell
**DOS(E_F)**: 3.559 states/eV/cell

***

Entry 8:
A relaxed structure of DyTmGaOs, computed with PBE-GGA.

abc: 4.8908 4.8908 4.8908
angles: 60.00 60.00 60.00
Last column: nearest neighbours and their distance in Å.
Positions (direct):
1 Dy 0.0000 0.0000 0.0000  4 Os 2.99, 4 Ga 2.99
2 Os 0.7500 0.7500 0.7500  4 Dy 2.99, 4 Tm 2.99
3 Tm 0.5000 0.5000 0.5000  4 Ga 2.99, 4 Os 2.99
4 Ga 0.2500 0.2500 0.2500  4 Dy 2.99, 4 Tm 2.99

Output
**DFT formation energy**: -8.87 kcal/mol of atoms
**Total magnetic moment**: 0.00 μB per cell
**DOS(E_F)**: 2.663 states/eV/cell

***

Entry 9:
A relaxed structure of BaTi3Sb, computed with PBE-GGA.

abc: 5.2316 5.2316 5.2316
angles: 90.00 90.00 90.00
Last column: nearest neighbours and their distance in Å.
Positions (direct):
1 Ti 0.0000 0.0000 0.5000  2 Sb 2.62
2 Ti 0.5000 0.0000 0.0000  2 Sb 2.62
3 Ti 0.0000 0.5000 0.0000  2 Sb 2.62
4 Ba 0.5000 0.5000 0.5000  12 Ti 3.70
5 Sb 0.0000 0.0000 0.0000  6 Ti 2.62

Output
**ΔE to the lowest computed polymorph**: 0.00 kcal/mol of atoms
**Total magnetic moment**: 0.00 μB per cell
**DOS(E_F)**: 6.882 states/eV/cell
**Energy relative to the elements, uncorrected**: 3.37 eV/f.u.

***

Entry 10:
A relaxed structure of Rh3PbI, computed with PBE-GGA.

abc: 4.8947 4.8947 4.8947
angles: 90.00 90.00 90.00
Last column: nearest neighbours and their distance in Å.
Positions (direct):
1 Rh 0.0000 0.5000 0.0000  2 I 2.45
2 I 0.0000 0.0000 0.0000  6 Rh 2.45
3 Pb 0.5000 0.5000 0.5000  12 Rh 3.46
4 Rh 0.0000 0.0000 0.5000  2 I 2.45
5 Rh 0.5000 0.0000 0.0000  2 I 2.45

Output
**ΔE to the lowest computed polymorph**: 0.00 kcal/mol of atoms
**Total magnetic moment**: 0.79 μB per cell
**DOS(E_F)**: 6.373 states/eV/cell
**Energy relative to the elements, uncorrected**: 4.17 eV/f.u.

***

Entry 11:
A relaxed structure of Li5Mg2Pd3, computed with PBE-GGA.

abc: 5.2519 8.5197 8.5197
angles: 94.79 72.05 72.05
Last column: nearest neighbours and their distance in Å.
Positions (direct):
1 Pd 0.8617 0.7922 0.4844  5 Li 2.47-2.73, 2 Mg 2.75
2 Li 0.0093 0.2407 0.2407  3 Pd 2.47-2.64, 5 Li 2.63-2.74
3 Li 0.4028 0.2489 0.9455  3 Pd 2.47-2.52, 2 Li 2.74
4 Li 0.9907 0.7593 0.7593  3 Pd 2.47-2.64, 5 Li 2.63-2.74
5 Li 0.5093 0.2407 0.2407  3 Pd 2.47-2.64, 5 Li 2.63-2.74
6 Mg 0.3693 0.8493 0.4121  4 Pd 2.75-2.88, 2 Li 2.85-2.92
7 Mg 0.6307 0.1507 0.5879  4 Pd 2.75-2.88, 2 Li 2.85-2.92
8 Li 0.0972 0.0545 0.7511  3 Pd 2.47-2.52, 2 Li 2.74
9 Mg 0.8693 0.4121 0.8493  4 Pd 2.75-2.88, 2 Li 2.85-2.92
10 Pd 0.3617 0.4844 0.7922  5 Li 2.47-2.73, 2 Mg 2.75
11 Pd 0.2500 0.0000 0.0000  6 Li 2.47-2.52, 2 Pd 2.63
12 Mg 0.1307 0.5879 0.1507  4 Pd 2.75-2.88, 2 Li 2.85-2.92
13 Li 0.9028 0.9455 0.2489  3 Pd 2.47-2.52, 2 Li 2.74
14 Li 0.5972 0.7511 0.0545  3 Pd 2.47-2.52, 2 Li 2.74
15 Pd 0.6383 0.5156 0.2078  5 Li 2.47-2.73, 2 Mg 2.75
16 Pd 0.1383 0.2078 0.5156  5 Li 2.47-2.73, 2 Mg 2.75
17 Pd 0.7500 0.0000 0.0000  6 Li 2.47-2.52, 2 Pd 2.63
18 Li 0.4907 0.7593 0.7593  3 Pd 2.47-2.64, 5 Li 2.63-2.74
19 Li 0.7500 0.5000 0.5000  4 Li 2.63-2.66, 4 Pd 2.73
20 Li 0.2500 0.5000 0.5000  4 Li 2.63-2.66, 4 Pd 2.73

Output
**DFT formation energy**: -6.35 kcal/mol of atoms
**Total magnetic moment**: 0.00 μB per cell
**DOS(E_F)**: 7.049 states/eV/cell

***

Entry 12:
A relaxed structure of Pm5MgPt4, computed with PBE-GGA.

abc: 3.6214 3.6214 18.5181
angles: 90.00 90.00 90.00
Last column: nearest neighbours and their distance in Å.
Positions (direct):
1 Pt 0.0000 0.0000 0.4040  8 Pm 3.11-3.12
2 Pt 0.0000 0.0000 0.5960  8 Pm 3.11-3.12
3 Mg 0.0000 0.0000 0.0000  8 Pm 3.40, 4 Mg 3.62
4 Pm 0.5000 0.5000 0.1211  4 Pt 3.02
5 Pt 0.0000 0.0000 0.2075  8 Pm 3.02-3.18
6 Pm 0.5000 0.5000 0.5000  8 Pt 3.12
7 Pm 0.5000 0.5000 0.8789  4 Pt 3.02
8 Pm 0.5000 0.5000 0.3091  8 Pt 3.11-3.18
9 Pm 0.5000 0.5000 0.6909  8 Pt 3.11-3.18
10 Pt 0.0000 0.0000 0.7925  8 Pm 3.02-3.18

Output
**DFT formation energy**: -20.33 kcal/mol of atoms
**Total magnetic moment**: 0.00 μB per cell
**DOS(E_F)**: 7.191 states/eV/cell

***

Entry 13:
A relaxed structure of TaRe2Au, computed with PBE-GGA.

abc: 2.8528 2.8528 8.1396
angles: 90.00 90.00 90.00
Last column: nearest neighbours and their distance in Å.
Positions (direct):
1 Re 0.5000 0.5000 0.2335  8 Re 2.65-2.85, 4 Ta 2.90
2 Re 0.0000 0.0000 0.0221  8 Re 2.65-2.85, 4 Au 2.96
3 Ta 0.0000 0.0000 0.4891  4 Ta 2.85, 4 Re 2.90, 4 Au 2.96
4 Au 0.5000 0.5000 0.7553  4 Au 2.85, 4 Ta 2.96, 4 Re 2.96

Output
**ΔE to the lowest computed polymorph**: 1.03 kcal/mol of atoms
**DFT formation energy**: 2.63 kcal/mol of atoms
**Total magnetic moment**: 0.00 μB per cell
**DOS(E_F)**: 4.697 states/eV/cell

***

Entry 14:
A relaxed structure of Y2ZrCdN, computed with PBE-GGA.

abc: 4.8151 4.8151 4.5627
angles: 90.00 90.00 90.00
Last column: nearest neighbours and their distance in Å.
Positions (direct):
1 Y 0.0000 0.5000 0.0000  2 N 2.41
2 N 0.0000 0.0000 0.0000  2 Zr 2.28, 4 Y 2.41
3 Zr 0.0000 0.0000 0.5000  2 N 2.28
4 Y 0.5000 0.0000 0.0000  2 N 2.41
5 Cd 0.5000 0.5000 0.5000  8 Y 3.32, 4 Zr 3.40

Output
**Total magnetic moment**: 0.00 μB per cell
**DOS(E_F)**: 2.379 states/eV/cell
**Energy relative to the elements, uncorrected**: -4.08 eV/f.u.

***

Entry 15:
A relaxed structure of Tb2NdTaN4, computed with PBE-GGA.

abc: 3.4232 6.2629 12.1870
angles: 90.00 90.00 105.86
Last column: nearest neighbours and their distance in Å.
Positions (direct):
1 Tb 0.3703 0.7405 0.5339  5 N 2.33-2.57
2 N 0.4398 0.8796 0.7500  2 Ta 2.10
3 N 0.5602 0.1204 0.2500  2 Ta 2.10
4 N 0.2603 0.5207 0.3766  1 Ta 1.95
5 N 0.0000 0.0000 0.5000  4 Tb 2.35
6 N 0.7397 0.4793 0.8766  1 Ta 1.95
7 N 0.2603 0.5207 0.1234  1 Ta 1.95
8 Tb 0.6297 0.2595 0.0339  5 N 2.33-2.57
9 N 0.7397 0.4793 0.6234  1 Ta 1.95
10 N 0.0000 0.0000 0.0000  4 Tb 2.35
11 Ta 0.8386 0.6771 0.7500  4 N 1.95-2.10
12 Ta 0.1614 0.3229 0.2500  4 N 1.95-2.10
13 Tb 0.3703 0.7405 0.9661  5 N 2.33-2.57
14 Tb 0.6297 0.2595 0.4661  5 N 2.33-2.57
15 Nd 0.0999 0.1998 0.7500  6 N 2.58-2.85
16 Nd 0.9001 0.8002 0.2500  6 N 2.58-2.85

Output
**Total magnetic moment**: 0.00 μB per cell
**DOS(E_F)**: 4.218 states/eV/cell
**Energy relative to the elements, uncorrected**: -10.16 eV/f.u.

***

Entry 16:
A relaxed structure of MnRuAu, computed with PBE-GGA.

abc: 4.3740 4.3740 2.7756
angles: 90.00 90.00 120.00
Last column: nearest neighbours and their distance in Å.
Positions (direct):
1 Ru 0.6667 0.3333 0.5897  3 Mn 2.61, 2 Ru 2.78, 3 Au 2.83
2 Au 0.0000 0.0000 0.0516  3 Mn 2.67, 2 Au 2.78, 6 Ru 2.83-2.93
3 Mn 0.3333 0.6667 0.3587  3 Ru 2.61, 3 Au 2.67, 2 Mn 2.78

Output
**ΔE to the lowest computed polymorph**: 4.02 kcal/mol of atoms
**DFT formation energy**: 7.71 kcal/mol of atoms
**Total magnetic moment**: 2.54 μB per cell
**DOS(E_F)**: 3.579 states/eV/cell